{"formula": "KCrTc2", "functional": "PBE-GGA", "state": "relaxed", "total_energy_ev_per_atom": -7.067, "spacegroup": "No. 25", "cell": [[2.860, 0.000, 0.000], [0.000, 3.815, 0.000], [0.000, 0.000, 7.797]], "species": ["Cr", "K", "Tc", "Tc"], "fractional_positions": [[0.000, 0.000, 0.386], [0.500, 0.500, 0.747], [0.000, 0.000, 0.107], [0.500, 0.500, 0.260]]}